[1]
The following is a GGA-PBE calculation of Pm3Te2Pt after structural relaxation, from Alexandria via LeMat-Bulk.

Calculated values
space group	No. 12

Cell: 7.505 7.852 7.503 Å, 80.75 59.99 71.26°
Positions (direct):
Pm: 0.077 0.773 0.358
Pm: 0.565 0.227 0.358
Pm: 0.435 0.773 0.642
Pm: 0.713 0.781 0.000
Pm: 0.287 0.219 0.000
Pm: 0.923 0.227 0.642
Pt: 0.331 0.000 0.339
Pt: 0.669 0.000 0.661
Te: 0.156 0.500 0.688
Te: 0.500 0.500 0.000
Te: 0.000 0.000 0.000
Te: 0.844 0.500 0.312

---

[2]
The following is a GGA-PBE calculation of LiPuSi2Pd after structural relaxation, from Alexandria via LeMat-Bulk.

Calculated values
space group	No. 119

Cell: 4.008 4.008 6.009 Å, 109.48 109.48 90.00°
Each line ends with the local moment (μB).
Positions (direct):
Pd: 0.750 0.250 0.500  -0.04
Li: 0.250 0.750 0.500  -0.01
Pu: 0.000 0.000 0.000  5.00
Si: 0.391 0.391 0.781  -0.05
Si: 0.609 0.609 0.219  -0.05

---

Taking the records one at a time from the top gives energy relative to the elements, uncorrected values of -1.327 -0.572 eV per atom.
Taking the records one at a time from the top gives calculated total energy values of -69.07 -35.15 eV for the cell shown.